YSi4Ir PBE-GGA relaxed; final energy = -36.5 eV for the cell shown; formation energy from raw total energies = 50 kJ/mol of formula units; DOS at the Fermi energy = 4.63 states/eV/cell
1.0
0.000 3.627 3.627
3.627 0.000 3.627
3.627 3.627 0.000
Y Ir Si
1 1 4
Direct
0.750 0.750 0.750
0.000 0.000 0.000
0.878 0.374 0.374
0.374 0.878 0.374
0.374 0.374 0.878
0.374 0.374 0.374

***

Y2SiIr PBE-GGA relaxed; final energy = -28.8 eV for the cell shown; formation energy from raw total energies = -150 kJ/mol of formula units; DOS at the Fermi energy = 5.03 states/eV/cell
1.0
4.072 0.000 0.000
0.000 4.053 0.000
0.000 0.000 5.798
Y Ir Si
2 1 1
Direct
0.500 0.500 0.341
0.000 0.000 0.918
0.000 0.000 0.399
0.500 0.500 0.842

***

Y2SiIr PBE-GGA relaxed; final energy = -29.0 eV for the cell shown; formation energy from raw total energies = -172 kJ/mol of formula units; DOS at the Fermi energy = 3.63 states/eV/cell
1.0
3.242 0.000 0.000
0.000 3.242 0.000
0.000 0.000 8.213
Y Ir Si
2 1 1
Direct
0.500 0.500 0.311
0.000 0.000 0.940
0.000 0.000 0.556
0.500 0.500 0.693

***

YSi3Ir PBE-GGA relaxed; final energy = -30.7 eV for the cell shown; formation energy from raw total energies = 82 kJ/mol of formula units; DOS at the Fermi energy = 1.98 states/eV/cell
1.0
-4.385 1.543 -0.786
-1.691 -4.276 1.041
-0.372 1.251 4.531
Ir Si Y
1 3 1
Direct
0.000 0.000 0.000
0.000 0.500 0.000
0.500 0.000 0.000
0.000 0.000 0.500
0.500 0.500 0.500

***

Y3Si3Ir2 PBE-GGA relaxed; final energy = -122.8 eV for the cell shown; formation energy from raw total energies = -774 kJ/mol of formula units; DOS at the Fermi energy = 6.75 states/eV/cell; relative energy among the computed polymorphs = 0 meV/atom
1.0
-2.948 -3.049 -0.046
4.853 -1.776 2.268
-4.422 4.083 12.660
Si Y Ir
6 6 4
Direct
0.378 0.756 0.964
0.333 0.665 0.250
0.378 0.756 0.536
0.622 0.244 0.036
0.667 0.335 0.750
0.622 0.244 0.464
0.917 0.835 0.112
0.638 0.275 0.250
0.083 0.165 0.612
0.917 0.835 0.388
0.362 0.725 0.750
0.083 0.165 0.888
0.203 0.405 0.403
0.797 0.595 0.903
0.203 0.405 0.097
0.797 0.595 0.597

***

Y3Si4Ir7 PBE-GGA relaxed; final energy = -116.5 eV for the cell shown; formation energy from raw total energies = -1292 kJ/mol of formula units; DOS at the Fermi energy = 5.24 states/eV/cell
1.0
3.906 0.000 0.985
1.425 7.224 2.585
0.008 0.033 8.202
Ir Y Si
7 3 4
Direct
0.505 0.765 0.224
0.495 0.235 0.776
0.162 0.597 0.078
0.306 0.843 0.544
0.838 0.403 0.922
0.000 0.000 0.000
0.694 0.157 0.456
0.674 0.824 0.829
0.000 0.500 0.500
0.326 0.176 0.171
0.886 0.893 0.334
0.114 0.107 0.666
0.332 0.555 0.780
0.668 0.445 0.220